NbNiGe2 | PBE | optimized geometry

Computed properties:
Calculated formation energy in eV/f.u.: 0.47
Energy in eV/atom: -6.153
Density in g cm⁻³: 7.47

a b c (Å): 2.9083 2.9083 9.1642
angles (deg): 80.87 80.87 60.00
Fractional positions:
Nb (0.0000, 0.0000, 0.0000)
Ge (0.9004, 0.9004, 0.2987)
Ge (0.0996, 0.0996, 0.7013)
Ni (0.5000, 0.5000, 0.5000)